# 1
First-principles (PBE-GGA) data for a relaxed structure of Ag3Rh, as listed in Alexandria.

```
4
Lattice="1.467 -2.375 0.000 1.467 2.375 0.000 0.000 0.000 9.718" Properties=species:S:1:pos:R:3 pbc="T T T"
Ag 0.000 0.000 0.000
Ag 1.467 0.000 2.485
Ag 1.467 0.000 7.233
Rh 0.000 0.000 4.859
```

Output
**ρ**: 10.46 g cm⁻³
**Energy relative to the elements**: 0.770 eV per formula unit

=====

# 2
First-principles (PBE-GGA) data for a relaxed structure of Rb2SnPb2, as listed in Alexandria.

```
10
Lattice="-3.793 7.172 5.092 3.793 -7.172 5.092 3.793 7.172 -5.092" Properties=species:S:1:pos:R:3 pbc="T T T"
Rb 0.983 2.034 0.000
Rb 4.775 5.139 0.000
Rb -0.983 2.034 5.092
Rb 2.810 5.139 5.092
Sn 3.793 0.000 2.546
Sn 0.000 7.172 2.546
Pb 4.745 1.334 0.000
Pb 0.952 5.839 0.000
Pb 2.841 1.334 5.092
Pb -0.952 5.839 5.092
```

Output
**ρ**: 4.22 g cm⁻³
**Energy relative to the elements**: 0.149 eV per formula unit